Entry 1:
# SrAs2Pt

A geometry-optimized SrAs2Pt structure (PBEsol, the Alexandria database).

Unit cell a=4.3320 b=4.5646 c=5.6814 alpha=113.69 beta=112.41 gamma=90.00
Positions (direct):
As: 0.8466 0.3466 0.6933
Pt: 0.4567 0.4567 0.9133
As: 0.9791 0.9791 0.9581
Sr: 0.2176 0.7176 0.4353

energy: -5.22 eV per atom
ΔE_f: -466 meV per atom
density of states at the Fermi level: 1.0 states/eV/f.u.
symmetry: Imm2 (44)

=====

Entry 2:
# MgInFeBi2

A geometry-optimized MgInFeBi2 structure (PBEsol, the Alexandria database).

Unit cell a=4.9935 b=5.0768 c=5.0768 alpha=90.00 beta=90.00 gamma=90.00
Positions (direct):
Bi: 0.0000 0.0000 0.5000
In: 0.5000 0.5000 0.5000
Fe: 0.0000 0.0000 0.0000
Bi: 0.0000 0.5000 0.0000
Mg: 0.5000 0.0000 0.0000

energy: -4.16 eV per atom
ΔE_f: 291 meV per atom
density of states at the Fermi level: 3.8 states/eV/f.u.
symmetry: P4/mmm (123)

=====

Entry 3:
# V6O7F5

A geometry-optimized V6O7F5 structure (PBEsol, the Alexandria database).

Unit cell a=4.6342 b=4.6246 c=8.8289 alpha=90.00 beta=90.00 gamma=92.69
Positions (direct):
V: 0.4681 0.5092 0.1807
O: 0.2016 0.8015 0.8343
V: 0.4681 0.5092 0.8193
F: 0.2009 0.7948 0.5000
O: 0.2016 0.8015 0.1657
F: 0.7009 0.7120 0.0000
V: 0.5013 0.4965 0.5000
O: 0.3166 0.3161 0.0000
F: 0.7970 0.1920 0.5000
V: 0.0043 0.9856 0.6752
V: 0.0043 0.9856 0.3248
V: 0.0539 0.0012 0.0000
O: 0.7008 0.6991 0.6657
F: 0.7997 0.2041 0.1641
O: 0.2901 0.2942 0.3360
F: 0.7997 0.2041 0.8359
O: 0.7008 0.6991 0.3343
O: 0.2901 0.2942 0.6640

energy: -8.30 eV per atom
density of states at the Fermi level: 9.2 states/eV/f.u.
E_form (uncorrected): -2511 meV per atom
symmetry: Pm (6)
E above lowest polymorph: 0.000 eV per atom

=====

Entry 4:
# Sr3Hg

A geometry-optimized Sr3Hg structure (PBEsol, the Alexandria database).

Unit cell a=3.9861 b=3.9861 c=10.1900 alpha=90.00 beta=90.00 gamma=90.00
Positions (direct):
Sr: 0.5000 0.5000 0.1843
Sr: 0.0000 0.0000 0.5000
Hg: 0.0000 0.0000 0.0000
Sr: 0.5000 0.5000 0.8157

energy: -1.82 eV per atom
ΔE_f: -300 meV per atom
density of states at the Fermi level: 3.3 states/eV/f.u.
symmetry: P4/mmm (123)
E above lowest polymorph: 0.000 eV per atom

=====

Entry 5:
# SrInI2O

A geometry-optimized SrInI2O structure (PBEsol, the Alexandria database).

Unit cell a=4.0595 b=6.1216 c=6.1216 alpha=90.00 beta=90.00 gamma=90.00
Positions (direct):
O: 0.5000 0.0000 0.0000
In: 0.0000 0.0000 0.0000
I: 0.0000 0.5000 0.0000
Sr: 0.5000 0.5000 0.5000
I: 0.0000 0.0000 0.5000

energy: -3.68 eV per atom
density of states at the Fermi level: 1.4 states/eV/f.u.
E_form (uncorrected): -955 meV per atom
symmetry: P4/mmm (123)

=====

Entry 6:
# Zn2MoOs

A geometry-optimized Zn2MoOs structure (PBEsol, the Alexandria database).

Unit cell a=2.9401 b=2.9401 c=6.6018 alpha=90.00 beta=90.00 gamma=90.00
Positions (direct):
Os: 0.5000 0.5000 0.7441
Mo: 0.0000 0.0000 0.5159
Zn: 0.0000 0.0000 0.0010
Zn: 0.5000 0.5000 0.2390

energy: -6.75 eV per atom
ΔE_f: 40 meV per atom
density of states at the Fermi level: 1.7 states/eV/f.u.
symmetry: P4mm (99)
E above lowest polymorph: 0.000 eV per atom

=====

Entry 7:
# TlCoHg2Br

A geometry-optimized TlCoHg2Br structure (PBEsol, the Alexandria database).

Unit cell a=5.5998 b=5.5998 c=5.7409 alpha=90.00 beta=90.00 gamma=90.00
Positions (direct):
Co: 0.5000 0.5000 0.5000
Tl: 0.0000 0.0000 0.0000
Br: 0.0000 0.0000 0.5000
Hg: 0.5000 0.0000 0.0000
Hg: 0.0000 0.5000 0.0000

energy: -1.71 eV per atom
density of states at the Fermi level: 9.3 states/eV/f.u.
E_form (uncorrected): 965 meV per atom
symmetry: P4/mmm (123)

=====

Entry 8:
# In2WBr

A geometry-optimized In2WBr structure (PBEsol, the Alexandria database).

Unit cell a=4.9712 b=4.9712 c=4.9712 alpha=60.00 beta=60.00 gamma=60.00
Positions (direct):
Br: 0.0000 0.0000 0.0000
In: 0.2500 0.2500 0.2500
In: 0.7500 0.7500 0.7500
W: 0.5000 0.5000 0.5000

energy: -4.32 eV per atom
density of states at the Fermi level: 3.0 states/eV/f.u.
E_form (uncorrected): 1086 meV per atom
symmetry: Fm-3m (225)
E above lowest polymorph: 0.655 eV per atom